(1)
Entry from Alexandria: a geometry-optimized SmTm4Cu structure (PBE).

N(E_F) ... 1.455 states/eV/atom
Formation enthalpy at 0 K ... -60 meV per atom
Total magnetization ... 0.00 μB per formula unit
VASP energy ... -4.51 eV/atom

a = 3.4753 Å, b = 3.4753 Å, c = 13.6251 Å
α = 90.00°, β = 90.00°, γ = 90.00°
Last column: nearest neighbours and their distance in Å.
Element x y z (fractional)
Sm1 0.0000 0.0000 0.0000  4 Sm 3.48, 8 Tm 3.55
Tm1 0.5000 0.5000 0.1876  8 Tm 3.48-3.57, 4 Sm 3.55
Tm2 0.0000 0.0000 0.6227  4 Cu 2.97
Tm3 0.0000 0.0000 0.3773  4 Cu 2.97
Tm4 0.5000 0.5000 0.8124  8 Tm 3.48-3.57, 4 Sm 3.55
Cu1 0.5000 0.5000 0.5000  8 Tm 2.97

(2)
Entry from Alexandria: a geometry-optimized Sm3TmCu4 structure (PBE).

N(E_F) ... 0.540 states/eV/atom
Formation enthalpy at 0 K ... -208 meV per atom
Total magnetization ... 0.00 μB per formula unit
VASP energy ... -4.58 eV/atom

a = 3.5061 Å, b = 3.5061 Å, c = 14.0898 Å
α = 90.00°, β = 90.00°, γ = 90.00°
Last column: nearest neighbours and their distance in Å.
Element x y z (fractional)
Tm1 0.5000 0.5000 0.0000  8 Cu 2.95
Cu1 0.0000 0.0000 0.8862  4 Tm 2.95, 4 Sm 3.10, 1 Cu 3.21
Cu2 0.0000 0.0000 0.1138  4 Tm 2.95, 4 Sm 3.10, 1 Cu 3.21
Cu3 0.0000 0.0000 0.3740  8 Sm 3.05-3.07
Cu4 0.0000 0.0000 0.6260  8 Sm 3.05-3.07
Sm1 0.5000 0.5000 0.2459  8 Cu 3.07-3.10
Sm2 0.5000 0.5000 0.5000  8 Cu 3.05
Sm3 0.5000 0.5000 0.7541  8 Cu 3.07-3.10

(3)
Entry from Alexandria: a geometry-optimized Sm2TmCu structure (PBE).

N(E_F) ... 1.584 states/eV/atom
Energy relative to the lowest polymorph listed for this composition ... 0.0 meV/atom
Formation enthalpy at 0 K ... -54 meV per atom
Total magnetization ... 0.00 μB per formula unit
VASP energy ... -4.56 eV/atom

a = 3.5698 Å, b = 3.5698 Å, c = 8.5549 Å
α = 90.00°, β = 90.00°, γ = 90.00°
Last column: nearest neighbours and their distance in Å.
Element x y z (fractional)
Tm1 0.5000 0.5000 0.5000  4 Tm 3.57, 8 Sm 3.58
Cu1 0.5000 0.5000 0.0000  8 Sm 3.07
Sm1 0.0000 0.0000 0.7960  4 Cu 3.07
Sm2 0.0000 0.0000 0.2040  4 Cu 3.07

(4)
Entry from Alexandria: a geometry-optimized SmTmCu structure (PBE).

N(E_F) ... 1.071 states/eV/atom
Energy relative to the lowest polymorph listed for this composition ... 0.0 meV/atom
Formation enthalpy at 0 K ... -126 meV per atom
Total magnetization ... 0.00 μB per formula unit
VASP energy ... -4.55 eV/atom

a = 3.4812 Å, b = 3.4812 Å, c = 6.6626 Å
α = 105.14°, β = 105.14°, γ = 90.00°
Last column: nearest neighbours and their distance in Å.
Element x y z (fractional)
Tm1 0.3011 0.3011 0.6021  4 Cu 2.90
Sm1 0.0224 0.0224 0.0449  4 Cu 3.11, 1 Tm 3.45, 4 Sm 3.48
Cu1 0.6765 0.6765 0.3530  4 Tm 2.90, 4 Sm 3.11

(5)
Entry from Alexandria: a geometry-optimized SmTm3Cu2 structure (PBE).

N(E_F) ... 1.145 states/eV/atom
Energy relative to the lowest polymorph listed for this composition ... 187.0 meV/atom
Formation enthalpy at 0 K ... 9 meV per atom
Total magnetization ... 0.00 μB per formula unit
VASP energy ... -4.38 eV/atom

a = 6.7681 Å, b = 7.0935 Å, c = 8.2784 Å
α = 115.37°, β = 114.13°, γ = 90.00°
Last column: nearest neighbours and their distance in Å.
Element x y z (fractional)
Sm1 0.0000 0.5000 0.0000  2 Cu 2.75
Sm2 0.0000 0.0000 0.0000  2 Cu 2.75
Tm1 0.5000 0.2500 0.0000  4 Cu 2.96
Tm2 0.5000 0.7500 0.0000  4 Cu 2.96
Tm3 0.7634 0.0134 0.5268  4 Cu 2.77-2.94
Tm4 0.2366 0.4866 0.4732  4 Cu 2.77-2.94
Tm5 0.2366 0.9866 0.4732  4 Cu 2.77-2.94
Tm6 0.7634 0.5134 0.5268  4 Cu 2.77-2.94
Cu1 0.5640 0.3569 0.7137  1 Sm 2.75, 6 Tm 2.77-2.96
Cu2 0.8502 0.1431 0.2863  1 Sm 2.75, 6 Tm 2.77-2.96
Cu3 0.1498 0.8569 0.7137  1 Sm 2.75, 6 Tm 2.77-2.96
Cu4 0.4360 0.6431 0.2863  1 Sm 2.75, 6 Tm 2.77-2.96

(6)
Entry from Alexandria: a geometry-optimized SmTmCu4 structure (PBE).

N(E_F) ... 0.550 states/eV/atom
Energy relative to the lowest polymorph listed for this composition ... 101.7 meV/atom
Formation enthalpy at 0 K ... -157 meV per atom
Total magnetization ... 0.00 μB per formula unit
VASP energy ... -4.42 eV/atom

a = 5.2710 Å, b = 5.2710 Å, c = 5.2710 Å
α = 60.00°, β = 60.00°, γ = 60.00°
Last column: nearest neighbours and their distance in Å.
Element x y z (fractional)
Tm1 0.2500 0.2500 0.2500  12 Cu 3.09, 4 Sm 3.23
Cu1 0.6242 0.6242 0.1274  6 Cu 2.62-2.65
Cu2 0.6242 0.1274 0.6242  6 Cu 2.62-2.65
Cu3 0.6242 0.6242 0.6242  6 Cu 2.62-2.65
Cu4 0.1274 0.6242 0.6242  6 Cu 2.62-2.65
Sm1 0.0000 0.0000 0.0000  12 Cu 3.09, 4 Tm 3.23

(7)
Entry from Alexandria: a geometry-optimized SmTm2Cu structure (PBE).

N(E_F) ... 1.361 states/eV/atom
Energy relative to the lowest polymorph listed for this composition ... 134.2 meV/atom
Formation enthalpy at 0 K ... 19 meV per atom
Total magnetization ... 0.00 μB per formula unit
VASP energy ... -4.42 eV/atom

a = 3.5923 Å, b = 3.5923 Å, c = 9.9911 Å
α = 79.64°, β = 79.64°, γ = 60.00°
Last column: nearest neighbours and their distance in Å.
Element x y z (fractional)
Tm1 0.2671 0.2671 0.1987  3 Cu 2.84
Tm2 0.7329 0.7329 0.8013  3 Cu 2.84
Cu1 0.0000 0.0000 0.0000  6 Tm 2.84
Sm1 0.5000 0.5000 0.5000  6 Sm 3.59, 6 Tm 3.60

(8)
Entry from Alexandria: a geometry-optimized SmTm2Cu structure (PBE).

N(E_F) ... 1.408 states/eV/atom
Energy relative to the lowest polymorph listed for this composition ... 38.9 meV/atom
Formation enthalpy at 0 K ... -77 meV per atom
Total magnetization ... 0.00 μB per formula unit
VASP energy ... -4.52 eV/atom

a = 4.8878 Å, b = 6.3066 Å, c = 7.4608 Å
α = 90.00°, β = 90.00°, γ = 112.88°
Last column: nearest neighbours and their distance in Å.
Element x y z (fractional)
Sm1 0.9532 0.9063 0.2500  1 Cu 2.89
Sm2 0.0468 0.0937 0.7500  1 Cu 2.89
Tm1 0.3501 0.7002 0.5323  3 Cu 2.72-3.00
Tm2 0.6499 0.2998 0.4677  3 Cu 2.72-3.00
Tm3 0.3501 0.7002 0.9677  3 Cu 2.72-3.00
Tm4 0.6499 0.2998 0.0323  3 Cu 2.72-3.00
Cu1 0.7982 0.5963 0.7500  6 Tm 2.72-3.00, 1 Sm 2.89
Cu2 0.2018 0.4037 0.2500  6 Tm 2.72-3.00, 1 Sm 2.89

- What is the total magnetization in the fourth record?
  0.00 μB per formula unit

- Which value of total magnetization does entry 5 give?
  0.00 μB per formula unit